# KUV2O8

KUV2O8 after structural relaxation (GGA+U, the Alexandria database).

Results
mass density: 3708 kg/m3
uncorrected energy: -7.920 eV/atom

Unit cell a=5.8714 b=5.8714 c=7.6042 alpha=90.00 beta=90.00 gamma=120.00
Last column: nearest neighbours and their distance in Å.
Space group P-3m1 (No. 164)
One atom of each set of equivalent atoms:
K (0.0000, 0.0000, 0.0000) (multiplicity 1)  6 O 3.03
U (0.0000, 0.0000, 0.5000) (multiplicity 1)  6 O 2.14
V (0.3333, 0.6667, 0.2527) (multiplicity 2)  4 O 1.64-1.78
O (0.1676, 0.3352, 0.3288) (multiplicity 6)  1 V 1.78
O (0.3333, 0.6667, 0.0368) (multiplicity 2)  1 V 1.64